6
Lattice="5.556 0.630 -0.483 -2.190 3.808 -0.193 -3.502 -1.719 5.588" Properties=species:S:1:pos:R:3 comment="PBE CaAsH, optimized geometry" dos_at_fermi_per_ev_cell=0.54 volume_a3_per_atom=19.4 total_magnetization_mub_per_cell=0.000 e_tot_ev_per_cell=-23.77 pbc="T T T"
Ca 0.395 2.826 1.121
Ca -0.531 -0.108 3.792
H 3.168 4.335 -0.357
H -3.304 -1.616 5.269
As 2.075 1.347 3.239
As -2.211 1.371 1.674

=====

80
Lattice="-4.328 10.611 7.361 -7.122 -0.693 -11.589 -1.770 -11.481 7.110" Properties=species:S:1:pos:R:3 comment="PBE Ca12As3H5, optimized geometry" dos_at_fermi_per_ev_cell=29.42 volume_a3_per_atom=24.3 total_magnetization_mub_per_cell=0.000 e_tot_ev_per_cell=-262.00 pbc="T T T"
H -8.361 3.220 0.943
H -4.446 -6.087 -2.240
As -5.120 6.328 6.769
Ca -3.587 -0.137 -3.119
Ca -7.498 -3.987 -7.055
Ca -10.453 4.659 -2.526
Ca -7.463 0.144 3.811
As -7.082 -7.827 0.818
H -3.049 -0.435 7.235
H -9.595 -3.934 2.130
Ca -3.997 4.006 2.213
As -9.349 7.330 -1.363
Ca -7.479 3.647 2.940
Ca -8.838 7.755 1.632
Ca -9.223 -5.569 0.669
Ca -9.952 7.694 -4.348
H -6.610 -0.782 1.441
Ca -6.043 -5.026 6.686
Ca -10.575 3.015 0.986
Ca -11.063 0.034 2.898
H -5.725 4.959 -2.114
Ca -3.219 4.108 5.838
As -6.517 0.676 -2.706
Ca -8.552 -4.235 4.071
Ca -3.674 -2.648 5.851
H -6.674 1.936 7.987
H 0.000 0.000 0.000
Ca -5.776 -8.400 -1.951
H -0.885 -5.741 3.555
Ca -4.668 2.672 -1.189
As -2.636 -1.739 3.058
H -5.685 -2.175 10.293
As -5.149 2.153 4.369
Ca -9.545 1.084 -2.969
Ca -5.741 -5.210 -0.058
Ca -5.722 2.424 9.937
As -10.584 0.176 -0.176
Ca -6.531 -5.208 -3.683
As -8.071 -3.716 -1.488
H -3.561 -0.346 -5.795
Ca -2.157 -1.597 -0.017
Ca -5.558 -6.520 3.138
Ca -7.645 -1.945 -3.956
H -3.654 -1.804 -1.648
Ca -9.632 -1.426 6.000
H -4.859 -4.783 1.938
Ca -2.645 -4.578 1.895
Ca -7.662 4.957 -0.256
As -3.870 -8.893 4.244
Ca -10.001 -5.671 -2.957
Ca -4.337 0.581 1.863
H -2.164 5.306 3.680
Ca -5.492 -2.823 2.777
Ca -2.436 0.714 4.889
Ca -3.987 7.247 4.017
Ca -6.127 -0.600 11.801
Ca -9.233 -8.810 -1.136
Ca -7.444 6.837 4.833
H -7.535 0.611 -7.412
H -3.841 -4.719 6.644
As -6.138 6.263 2.063
Ca -2.767 -6.223 5.407
As -8.100 -7.891 -3.888
H -6.546 -3.499 -5.106
Ca -7.177 3.463 -3.804
Ca -7.194 -2.279 8.663
H -3.625 2.371 0.752
Ca -8.883 -2.144 1.018
As -6.703 -2.239 5.587
Ca -7.728 1.260 0.104
Ca -5.575 0.381 6.837
Ca -4.382 -9.318 1.249
Ca -7.093 -0.963 -8.919
Ca -10.784 -2.277 -2.007
Ca -5.756 -1.707 -0.930
Ca -6.026 0.715 -5.781
H -9.566 0.241 4.530
H -9.379 3.155 -3.763
Ca -6.689 3.645 6.564
Ca -3.268 -9.257 7.230

=====

12
Lattice="6.954 0.000 0.000 0.000 7.745 0.000 0.000 0.000 4.392" Properties=species:S:1:pos:R:3 comment="PBE CaAsH, optimized geometry" dos_at_fermi_per_ev_cell=0.00 volume_a3_per_atom=19.7 total_magnetization_mub_per_cell=0.000 e_tot_ev_per_cell=-47.93 pbc="T T T"
H 3.288 5.809 0.663
As 5.825 1.936 1.993
Ca 0.000 0.000 0.000
Ca 3.477 0.000 2.196
Ca 3.477 3.873 2.196
H 3.666 1.936 3.729
As 2.348 1.936 0.202
H 6.765 5.809 1.533
Ca 0.000 3.873 0.000
H 0.189 1.936 2.859
As 4.606 5.809 4.189
As 1.129 5.809 2.398

=====

5
Lattice="-0.614 2.875 -3.331 0.421 -3.309 -2.934 -4.380 -0.721 0.185" Properties=species:S:1:pos:R:3 comment="PBE CaAs3H, optimized geometry" dos_at_fermi_per_ev_cell=2.14 volume_a3_per_atom=17.5 total_magnetization_mub_per_cell=0.000 e_tot_ev_per_cell=-19.58 pbc="T T T"
As 0.210 -1.655 -1.467
As -2.190 -0.360 0.093
H 0.000 0.000 0.000
As -0.307 1.437 -1.665
Ca -2.286 -0.578 -3.040